Entry from Alexandria: crystalline Zn2Ga4Ir at its relaxed geometry (PBE).

**Crystal system**: tetragonal
**Uncorrected energy**: -0.1167 Ha/atom
**V**: 127.96 Å³/f.u.
**Total magnetization**: 0.00 μB per cell

Unit cell a=6.073 b=6.073 c=6.938 alpha=90.00 beta=90.00 gamma=90.00
Space group I4/mmm (No. 139)
Unique sites:
Zn 0.000 0.500 0.250 x4
Ga 0.213 0.213 0.000 x8
Ir 0.000 0.000 0.500 x2

Entry from Alexandria: crystalline Zn2Ga2Ir at its relaxed geometry (PBE).

**Crystal system**: tetragonal
**Energy above the lowest structure with this stoichiometry**: 2.268 kcal/mol of atoms
**V**: 78.65 Å³/f.u.
**Total magnetization**: 0.00 μB per cell

Unit cell a=6.730 b=6.730 c=3.473 alpha=90.00 beta=90.00 gamma=90.00
Space group P4/mbm (No. 127)
Unique sites:
Zn 0.132 0.368 0.000 x4
Ga 0.173 0.673 0.500 x4
Ir 0.000 0.000 0.000 x2

Entry from Alexandria: crystalline Zn6GaIr5 at its relaxed geometry (PBE).

**Crystal system**: monoclinic
**Uncorrected energy**: -0.1741 Ha/atom
**V**: 170.46 Å³/f.u.
**Total magnetization**: 0.00 μB per cell

Unit cell a=13.342 b=6.351 c=4.241 alpha=90.00 beta=108.42 gamma=90.00
Space group C2/m (No. 12)
Unique sites:
Zn 0.000 0.230 0.000 x4
Zn 0.173 0.240 0.672 x8
Ga 0.000 0.500 0.500 x2
Ir 0.000 0.000 0.500 x2
Ir 0.152 0.500 0.152 x4
Ir 0.168 0.000 0.168 x4

Entry from Alexandria: crystalline Zn8Ga2Ir at its relaxed geometry (PBE).

**Crystal system**: monoclinic
**Uncorrected energy**: -0.0864 Ha/atom
**V**: 174.98 Å³/f.u.
**Total magnetization**: 0.00 μB per cell

Unit cell a=11.973 b=5.076 c=6.610 alpha=90.00 beta=119.40 gamma=90.00
Space group C2/m (No. 12)
Unique sites:
Zn 0.107 0.000 0.495 x4
Zn 0.110 0.249 0.895 x8
Zn 0.241 0.000 0.272 x4
Ga 0.133 0.500 0.278 x4
Ir 0.000 0.500 0.500 x2